Density functional theory data (PBE-GGA) for an optimized crystal structure of DyTm3Sc4.

```
16
Lattice="10.708 0.000 0.000 0.000 6.892 0.000 0.000 0.000 5.971" Properties=species:S:1:pos:R:3 pbc="T T T"
Dy 0.000 0.913 0.000
Dy 5.354 5.978 2.985
Tm 0.000 5.982 2.981
Tm 2.680 0.913 2.033
Tm 2.674 5.979 5.019
Tm 5.354 0.910 5.966
Tm 8.028 0.913 2.033
Tm 8.034 5.979 5.019
Sc 0.000 2.631 3.024
Sc 0.000 4.263 0.035
Sc 2.668 4.262 1.994
Sc 2.686 2.630 4.979
Sc 5.354 2.629 3.020
Sc 5.354 4.261 0.039
Sc 8.021 2.630 4.979
Sc 8.040 4.262 1.994
```

Output
- calculated formation energy (eV per atom) = 0.018
- N(E_F) (states/eV/cell) = 30.9

***

Density functional theory data (PBE-GGA) for an optimized crystal structure of Dy12TmSc2.

```
15
Lattice="3.547 0.000 0.000 0.000 4.803 0.000 -1.771 0.000 27.497" Properties=species:S:1:pos:R:3 pbc="T T T"
Dy -0.003 0.000 1.786
Dy -0.011 0.000 5.367
Dy -0.012 0.000 8.787
Dy -0.003 0.000 12.293
Dy 0.010 2.402 17.013
Dy 0.011 2.402 23.921
Dy 1.765 2.402 3.576
Dy 1.766 2.402 10.484
Dy 1.780 0.000 15.204
Dy 1.788 0.000 18.710
Dy 1.788 0.000 22.130
Dy 1.779 0.000 25.711
Tm 1.774 2.402 0.000
Sc 0.014 2.402 20.425
Sc 1.762 2.402 7.072
```

Output
- calculated formation energy (eV per atom) = 0.115
- N(E_F) (states/eV/cell) = 21.5

***

Density functional theory data (PBE-GGA) for an optimized crystal structure of Dy12TmSc6.

```
19
Lattice="7.310 4.220 3.260 -7.310 4.220 3.260 0.000 -8.441 3.260" Properties=species:S:1:pos:R:3 pbc="T T T"
Dy -2.837 -3.528 3.260
Dy -4.473 -0.693 3.260
Dy 0.000 -1.885 2.016
Dy -1.633 0.943 2.016
Dy 1.633 0.943 2.016
Dy 2.837 -3.528 3.260
Dy -1.637 4.220 3.260
Dy 4.473 -0.693 3.260
Dy 1.637 4.220 3.260
Dy -1.633 -0.943 7.764
Dy 1.633 -0.943 7.764
Dy 0.000 1.885 7.764
Tm 0.000 0.000 4.890
Sc 0.000 -4.964 3.739
Sc -4.299 2.482 3.739
Sc -4.299 -2.482 6.041
Sc 4.299 2.482 3.739
Sc 4.299 -2.482 6.041
Sc 0.000 4.964 6.041
```

Output
- calculated formation energy (eV per atom) = 0.439
- N(E_F) (states/eV/cell) = 27.1

***

Density functional theory data (PBE-GGA) for an optimized crystal structure of Dy5Tm5Sc2.

```
12
Lattice="7.357 -2.455 0.000 7.357 2.455 0.000 -4.923 0.000 9.835" Properties=species:S:1:pos:R:3 pbc="T T T"
Dy 0.000 0.000 0.000
Dy -2.495 0.000 7.378
Dy -0.003 0.000 4.914
Dy 9.795 0.000 4.920
Dy 12.287 0.000 2.457
Tm 2.416 0.000 2.442
Tm 0.000 0.000 9.833
Tm 4.896 0.000 4.917
Tm 9.792 0.000 0.002
Tm 7.376 0.000 7.393
Sc 2.433 0.000 7.371
Sc 7.359 0.000 2.464
```

Output
- calculated formation energy (eV per atom) = 0.036
- N(E_F) (states/eV/cell) = 17.7

***

Density functional theory data (PBE-GGA) for an optimized crystal structure of Dy2Tm3Sc.

```
12
Lattice="8.487 -3.470 0.000 8.487 3.470 0.000 -0.004 0.000 6.008" Properties=species:S:1:pos:R:3 pbc="T T T"
Dy 2.802 0.875 2.494
Dy 2.799 -0.875 5.498
Dy 14.171 0.875 0.510
Dy 14.169 -0.875 3.514
Tm 8.486 2.583 1.502
Tm 5.707 0.858 0.483
Tm 5.705 -0.858 3.487
Tm 11.265 0.858 2.521
Tm 11.263 -0.858 5.525
Tm 8.484 -2.583 4.506
Sc 8.484 0.852 4.506
Sc 8.486 -0.852 1.502
```

Output
- calculated formation energy (eV per atom) = 0.038
- N(E_F) (states/eV/cell) = 17.5

***

Density functional theory data (PBE-GGA) for an optimized crystal structure of Dy2Tm8Sc3.

```
13
Lattice="11.155 -3.272 0.000 11.155 3.272 0.000 -1.304 0.000 5.305" Properties=species:S:1:pos:R:3 pbc="T T T"
Dy 4.705 0.000 1.190
Dy 16.302 0.000 4.114
Tm 1.551 0.000 0.397
Tm 7.403 1.701 1.860
Tm 6.162 0.000 4.366
Tm 13.604 1.701 3.444
Tm 7.403 -1.701 1.860
Tm 14.845 0.000 0.939
Tm 13.604 -1.701 3.444
Tm 19.456 0.000 4.908
Sc 10.504 1.696 2.652
Sc 11.155 0.000 0.000
Sc 10.504 -1.696 2.652
```

Output
- calculated formation energy (eV per atom) = 0.185
- N(E_F) (states/eV/cell) = 23.5

***

Density functional theory data (PBE-GGA) for an optimized crystal structure of Dy2Tm5Sc2.

```
9
Lattice="5.546 0.000 0.000 2.628 5.711 0.000 2.724 0.367 8.347" Properties=species:S:1:pos:R:3 pbc="T T T"
Dy 1.626 1.711 1.206
Dy 9.273 4.367 7.140
Tm 1.362 0.184 4.173
Tm 4.301 1.109 6.228
Tm 4.211 2.532 3.114
Tm 6.687 3.546 5.233
Tm 6.597 4.969 2.119
Sc 3.720 4.323 0.385
Sc 7.179 1.755 7.962
```

Output
- calculated formation energy (eV per atom) = 0.086
- N(E_F) (states/eV/cell) = 16.3

***

Density functional theory data (PBE-GGA) for an optimized crystal structure of DyTm4Sc2.

```
7
Lattice="5.722 0.000 0.000 0.000 3.466 0.000 -1.764 0.000 10.598" Properties=species:S:1:pos:R:3 pbc="T T T"
Dy 0.000 0.000 0.000
Tm 0.035 1.733 2.819
Tm 1.079 0.000 8.332
Tm 2.878 0.000 2.265
Tm 3.922 1.733 7.778
Sc -0.882 0.000 5.299
Sc 1.979 1.733 5.299
```

Output
- calculated formation energy (eV per atom) = 0.186
- N(E_F) (states/eV/cell) = 10.1

***

Q: The highest calculated formation energy belongs to which entry?
A: Dy12TmSc6

***

Repeat the first record exactly.
Density functional theory data (PBE-GGA) for an optimized crystal structure of DyTm3Sc4.

```
16
Lattice="10.708 0.000 0.000 0.000 6.892 0.000 0.000 0.000 5.971" Properties=species:S:1:pos:R:3 pbc="T T T"
Dy 0.000 0.913 0.000
Dy 5.354 5.978 2.985
Tm 0.000 5.982 2.981
Tm 2.680 0.913 2.033
Tm 2.674 5.979 5.019
Tm 5.354 0.910 5.966
Tm 8.028 0.913 2.033
Tm 8.034 5.979 5.019
Sc 0.000 2.631 3.024
Sc 0.000 4.263 0.035
Sc 2.668 4.262 1.994
Sc 2.686 2.630 4.979
Sc 5.354 2.629 3.020
Sc 5.354 4.261 0.039
Sc 8.021 2.630 4.979
Sc 8.040 4.262 1.994
```

Output
- calculated formation energy (eV per atom) = 0.018
- N(E_F) (states/eV/cell) = 30.9